Ca2BeCoO5 (PBE+U, optimized geometry); total moment = 0.112 μB/atom; uncorrected energy = -6.346 eV per atom; volume = 195.0 Å³/cell
1.0
1.522 -6.505 0.000
1.522 6.505 0.000
0.000 0.000 9.845
Ca Be Co O
4 2 2 10
Direct
0.097 0.903 0.500 Ca
0.129 0.871 0.152 Ca
0.871 0.129 0.652 Ca
0.903 0.097 0.000 Ca
0.434 0.566 0.267 Be
0.566 0.434 0.767 Be
0.208 0.792 0.861 Co
0.792 0.208 0.361 Co
0.062 0.938 0.851 O
0.284 0.716 0.487 O
0.307 0.693 0.238 O
0.349 0.651 0.836 O
0.494 0.506 0.129 O
0.506 0.494 0.629 O
0.651 0.349 0.336 O
0.693 0.307 0.738 O
0.716 0.284 0.987 O
0.938 0.062 0.351 O